Entry 1:
# PBE-GGA TbEr2Sc2, optimized geometry
data_TbEr2Sc2
_cell_length_a 9.0431
_cell_length_b 9.0431
_cell_length_c 3.5181
_cell_angle_alpha 90.00
_cell_angle_beta 90.00
_cell_angle_gamma 90.00
_space_group_name_H-M_alt 'P 4/m b m'
_space_group_IT_number 127
_space_group_name_Hall '-P 4 2ab'
loop_
_atom_site_label
_atom_site_type_symbol
_atom_site_fract_x
_atom_site_fract_y
_atom_site_fract_z
Tb1 Tb 0.0000 0.0000 0.0000
Er1 Er 0.1754 0.3246 0.5000
Sc1 Sc 0.1202 0.6202 0.0000
# * energy relative to the elements: 75 meV/atom

Entry 2:
# PBE-GGA PmYHoEr3, optimized geometry
data_PmYHoEr3
_cell_length_a 5.7084
_cell_length_b 11.7531
_cell_length_c 11.3709
_cell_angle_alpha 90.00
_cell_angle_beta 90.00
_cell_angle_gamma 90.00
_space_group_name_H-M_alt 'C m c m'
_space_group_IT_number 63
_space_group_name_Hall '-C 2c 2'
loop_
_atom_site_label
_atom_site_type_symbol
_atom_site_fract_x
_atom_site_fract_y
_atom_site_fract_z
Pm1 Pm 0.0000 0.0240 0.2500
Y1 Y 0.0000 0.3269 0.2500
Ho1 Ho 0.0000 0.5000 0.0000
Er1 Er 0.0000 0.1735 0.5246
Er2 Er 0.0000 0.3544 0.7500
# * energy relative to the elements: 124 meV/atom

Entry 3:
# PBE-GGA YRh3Au, optimized geometry
data_YRh3Au
_cell_length_a 4.8667
_cell_length_b 4.8667
_cell_length_c 4.8667
_cell_angle_alpha 90.00
_cell_angle_beta 90.00
_cell_angle_gamma 90.00
_space_group_name_H-M_alt 'P m -3 m'
_space_group_IT_number 221
_space_group_name_Hall '-P 4 2 3'
loop_
_atom_site_label
_atom_site_type_symbol
_atom_site_fract_x
_atom_site_fract_y
_atom_site_fract_z
Y1 Y 0.0000 0.0000 0.0000
Rh1 Rh 0.0000 0.0000 0.5000
Au1 Au 0.5000 0.5000 0.5000
# * energy relative to the elements: 1238 meV/atom

Entry 4:
# PBE-GGA Dy2GeO, optimized geometry
data_Dy2GeO
_cell_length_a 5.7798
_cell_length_b 5.6917
_cell_length_c 11.6648
_cell_angle_alpha 90.00
_cell_angle_beta 115.80
_cell_angle_gamma 90.00
_space_group_name_H-M_alt 'P 1 2/c 1'
_space_group_IT_number 13
loop_
_space_group_symop_operation_xyz
'x,y,z'
'-x,-y,-z'
'-x,y,-z+1/2'
'x,-y,z+1/2'
loop_
_atom_site_label
_atom_site_type_symbol
_atom_site_fract_x
_atom_site_fract_y
_atom_site_fract_z
Dy1 Dy 0.0935 0.2161 0.1063
Dy2 Dy 0.3113 0.2316 0.8582
Ge1 Ge 0.3888 0.2688 0.3740
O1 O 0.0491 0.1744 0.6218
# * calculated total energy: -6.448 eV/atom

Entry 5:
# PBE-GGA CuMoW, optimized geometry
data_CuMoW
_cell_length_a 2.5757
_cell_length_b 4.2103
_cell_length_c 8.2876
_cell_angle_alpha 90.00
_cell_angle_beta 90.00
_cell_angle_gamma 90.00
_space_group_name_H-M_alt 'I m m 2'
_space_group_IT_number 44
loop_
_space_group_symop_operation_xyz
'x,y,z'
'-x,-y,z'
'-x,y,z'
'x,-y,z'
'x+1/2,y+1/2,z+1/2'
'-x+1/2,-y+1/2,z+1/2'
'-x+1/2,y+1/2,z+1/2'
'x+1/2,-y+1/2,z+1/2'
loop_
_atom_site_label
_atom_site_type_symbol
_atom_site_fract_x
_atom_site_fract_y
_atom_site_fract_z
Cu1 Cu 0.0000 0.0000 0.0000
Mo1 Mo 0.0000 0.0000 0.3356
W1 W 0.0000 0.0000 0.6631
# * energy relative to the elements: 295 meV/atom

Entry 6:
# PBE-GGA La12Nd7Th, optimized geometry
data_La12Nd7Th
_cell_length_a 13.9771
_cell_length_b 13.9771
_cell_length_c 12.7112
_cell_angle_alpha 90.00
_cell_angle_beta 90.00
_cell_angle_gamma 120.00
_space_group_name_H-M_alt 'R -3 m'
_space_group_IT_number 166
_space_group_name_Hall '-R 3 2"'
loop_
_atom_site_label
_atom_site_type_symbol
_atom_site_fract_x
_atom_site_fract_y
_atom_site_fract_z
La1 La 0.0000 0.2569 0.0000
La2 La 0.0455 0.5227 0.1135
Nd1 Nd 0.0000 0.0000 0.5000
Nd2 Nd 0.0861 0.1723 0.7653
Th1 Th 0.0000 0.0000 0.0000
# * energy relative to the elements: 71 meV/atom

Entry 7:
# PBE-GGA CaScNi2, optimized geometry
data_CaScNi2
_cell_length_a 6.5529
_cell_length_b 6.5529
_cell_length_c 6.5529
_cell_angle_alpha 90.00
_cell_angle_beta 90.00
_cell_angle_gamma 90.00
_space_group_name_H-M_alt 'F m -3 m'
_space_group_IT_number 225
_space_group_name_Hall '-F 4 2 3'
loop_
_atom_site_label
_atom_site_type_symbol
_atom_site_fract_x
_atom_site_fract_y
_atom_site_fract_z
Ca1 Ca 0.0000 0.0000 0.0000
Sc1 Sc 0.0000 0.0000 0.5000
Ni1 Ni 0.2500 0.2500 0.2500
# * energy relative to the elements: -176 meV/atom

Entry 8:
# PBE-GGA CrSiRh4, optimized geometry
data_CrSiRh4
_cell_length_a 7.1817
_cell_length_b 7.1817
_cell_length_c 7.1817
_cell_angle_alpha 90.00
_cell_angle_beta 90.00
_cell_angle_gamma 90.00
_space_group_name_H-M_alt 'F -4 3 m'
_space_group_IT_number 216
_space_group_name_Hall 'F -4 2 3'
loop_
_atom_site_label
_atom_site_type_symbol
_atom_site_fract_x
_atom_site_fract_y
_atom_site_fract_z
Cr1 Cr 0.0000 0.0000 0.0000
Si1 Si 0.2500 0.2500 0.2500
Rh1 Rh 0.1247 0.1247 0.6247
# * calculated total energy: -7.067 eV/atom

Entry 9:
# PBE-GGA B2MoBrCl, optimized geometry
data_B2MoBrCl
_cell_length_a 4.5216
_cell_length_b 4.5216
_cell_length_c 4.5217
_cell_angle_alpha 90.00
_cell_angle_beta 90.00
_cell_angle_gamma 90.00
_space_group_name_H-M_alt 'P 4/m m m'
_space_group_IT_number 123
_space_group_name_Hall '-P 4 2'
loop_
_atom_site_label
_atom_site_type_symbol
_atom_site_fract_x
_atom_site_fract_y
_atom_site_fract_z
B1 B 0.0000 0.5000 0.0000
Mo1 Mo 0.0000 0.0000 0.0000
Br1 Br 0.5000 0.5000 0.5000
Cl1 Cl 0.0000 0.0000 0.5000
# * calculated total energy: -4.388 eV/atom

Entry 10:
# PBE-GGA Pr2ThOs9, optimized geometry
data_Pr2ThOs9
_cell_length_a 9.2900
_cell_length_b 5.4907
_cell_length_c 9.2837
_cell_angle_alpha 90.00
_cell_angle_beta 108.47
_cell_angle_gamma 90.00
_space_group_name_H-M_alt 'C 1 2/m 1'
_space_group_IT_number 12
loop_
_space_group_symop_operation_xyz
'x,y,z'
'-x,-y,-z'
'-x,y,-z'
'x,-y,z'
'x+1/2,y+1/2,z'
'-x+1/2,-y+1/2,-z'
'-x+1/2,y+1/2,-z'
'x+1/2,-y+1/2,z'
loop_
_atom_site_label
_atom_site_type_symbol
_atom_site_fract_x
_atom_site_fract_y
_atom_site_fract_z
Pr1 Pr 0.1459 0.0000 0.4227
Th1 Th 0.0000 0.0000 0.0000
Os1 Os 0.0000 0.5000 0.5000
Os2 Os 0.0795 0.5000 0.2592
Os3 Os 0.1368 0.5000 0.9955
Os4 Os 0.1699 0.2340 0.7659
# * energy relative to the elements: 1 meV/atom

Entry 11:
# PBE-GGA InCuTe4Au2, optimized geometry
data_InCuTe4Au2
_cell_length_a 8.7901
_cell_length_b 8.7912
_cell_length_c 12.8587
_cell_angle_alpha 90.00
_cell_angle_beta 90.00
_cell_angle_gamma 90.00
_space_group_name_H-M_alt 'F m m 2'
_space_group_IT_number 42
_space_group_name_Hall 'F 2 -2'
loop_
_atom_site_label
_atom_site_type_symbol
_atom_site_fract_x
_atom_site_fract_y
_atom_site_fract_z
In1 In 0.0000 0.0000 0.0000
Cu1 Cu 0.0000 0.0000 0.4996
Te1 Te 0.0000 0.2303 0.3761
Te2 Te 0.2300 0.0000 0.6235
Au1 Au 0.2500 0.2500 0.2498
# * calculated total energy: -3.385 eV/atom

Entry 12:
# PBE-GGA HgTePd6, optimized geometry
data_HgTePd6
_cell_length_a 4.9717
_cell_length_b 5.3500
_cell_length_c 5.3889
_cell_angle_alpha 90.31
_cell_angle_beta 100.33
_cell_angle_gamma 92.90
_space_group_name_H-M_alt 'P -1'
_space_group_IT_number 2
loop_
_space_group_symop_operation_xyz
'x,y,z'
'-x,-y,-z'
loop_
_atom_site_label
_atom_site_type_symbol
_atom_site_fract_x
_atom_site_fract_y
_atom_site_fract_z
Hg1 Hg 0.0000 0.0000 0.0000
Te1 Te 0.5000 0.5000 0.5000
Pd1 Pd 0.0139 0.4870 0.7559
Pd2 Pd 0.2552 0.9152 0.5602
Pd3 Pd 0.4836 0.7472 0.0686
# * calculated total energy: -4.442 eV/atom

Entry 13:
# PBE-GGA Ho3TmAu2, optimized geometry
data_Ho3TmAu2
_cell_length_a 4.9363
_cell_length_b 8.9030
_cell_length_c 7.0489
_cell_angle_alpha 90.00
_cell_angle_beta 90.00
_cell_angle_gamma 90.00
_space_group_name_H-M_alt 'P m c 21'
_space_group_IT_number 26
loop_
_space_group_symop_operation_xyz
'x,y,z'
'-x,-y,z+1/2'
'-x,y,z'
'x,-y,z+1/2'
loop_
_atom_site_label
_atom_site_type_symbol
_atom_site_fract_x
_atom_site_fract_y
_atom_site_fract_z
Ho1 Ho 0.0000 0.0734 0.0000
Ho2 Ho 0.0000 0.3313 0.3632
Ho3 Ho 0.5000 0.1698 0.6625
Tm1 Tm 0.5000 0.4272 0.0260
Au1 Au 0.0000 0.3492 0.7726
Au2 Au 0.5000 0.1527 0.2530
# * energy relative to the elements: -648 meV/atom

Entry 14:
# PBE-GGA Tc2PRu, optimized geometry
data_Tc2PRu
_cell_length_a 2.8613
_cell_length_b 2.8613
_cell_length_c 6.5966
_cell_angle_alpha 90.00
_cell_angle_beta 90.00
_cell_angle_gamma 90.00
_space_group_name_H-M_alt 'P 4 m m'
_space_group_IT_number 99
loop_
_space_group_symop_operation_xyz
'x,y,z'
'-y,x,z'
'-x,-y,z'
'y,-x,z'
'-x,y,z'
'y,x,z'
'x,-y,z'
'-y,-x,z'
loop_
_atom_site_label
_atom_site_type_symbol
_atom_site_fract_x
_atom_site_fract_y
_atom_site_fract_z
Tc1 Tc 0.0000 0.0000 0.0000
Tc2 Tc 0.5000 0.5000 0.2759
P1 P 0.0000 0.0000 0.4958
Ru1 Ru 0.5000 0.5000 0.7102
# * energy relative to the elements: -232 meV/atom

Entry 15:
# PBE-GGA PmNd2Pd2, optimized geometry
data_PmNd2Pd2
_cell_length_a 12.2332
_cell_length_b 4.0902
_cell_length_c 5.9595
_cell_angle_alpha 90.00
_cell_angle_beta 108.29
_cell_angle_gamma 90.00
_space_group_name_H-M_alt 'C 1 2/m 1'
_space_group_IT_number 12
loop_
_space_group_symop_operation_xyz
'x,y,z'
'-x,-y,-z'
'-x,y,-z'
'x,-y,z'
'x+1/2,y+1/2,z'
'-x+1/2,-y+1/2,-z'
'-x+1/2,y+1/2,-z'
'x+1/2,-y+1/2,z'
loop_
_atom_site_label
_atom_site_type_symbol
_atom_site_fract_x
_atom_site_fract_y
_atom_site_fract_z
Pm1 Pm 0.0000 0.0000 0.0000
Nd1 Nd 0.1522 0.5000 0.6084
Pd1 Pd 0.1891 0.5000 0.1305
# * energy relative to the elements: -498 meV/atom

Entry 16:
# PBE-GGA TlBiSe, optimized geometry
data_TlBiSe
_cell_length_a 4.5178
_cell_length_b 4.4617
_cell_length_c 10.3003
_cell_angle_alpha 90.00
_cell_angle_beta 94.32
_cell_angle_gamma 90.00
_space_group_name_H-M_alt 'P 1 21/m 1'
_space_group_IT_number 11
loop_
_space_group_symop_operation_xyz
'x,y,z'
'-x,-y,-z'
'-x,y+1/2,-z'
'x,-y+1/2,z'
loop_
_atom_site_label
_atom_site_type_symbol
_atom_site_fract_x
_atom_site_fract_y
_atom_site_fract_z
Tl1 Tl 0.1970 0.2500 0.3845
Bi1 Bi 0.3125 0.7500 0.0585
Se1 Se 0.3664 0.2500 0.7068
# * calculated total energy: -3.455 eV/atom